Compound: In7Bi
Source: Alexandria via LeMat-Bulk
Functional: PBE-GGA
Structure: relaxed

Unit cell a=6.8372 b=6.8372 c=6.8372 alpha=60.00 beta=60.00 gamma=60.00
Last column: nearest neighbours and their distance in Å.
Element x y z (fractional)
In (0.0000, 0.0000, 0.0000)  12 In 3.42
In (0.0000, 0.0000, 0.5000)  10 In 3.42, 2 Bi 3.42
In (0.0000, 0.5000, 0.0000)  10 In 3.42, 2 Bi 3.42
In (0.0000, 0.5000, 0.5000)  10 In 3.42, 2 Bi 3.42
In (0.5000, 0.0000, 0.0000)  10 In 3.42, 2 Bi 3.42
In (0.5000, 0.0000, 0.5000)  10 In 3.42, 2 Bi 3.42
In (0.5000, 0.5000, 0.0000)  10 In 3.42, 2 Bi 3.42
Bi (0.5000, 0.5000, 0.5000)  12 In 3.42

Results
Magnetization in μB per formula unit: 0.000
Excess energy over the best structure of this formula in the dataset in meV per atom: 10
Calculated volume in Å³ per atom: 28.25
DOS at the Fermi energy in states/eV/atom: 0.75
SG: Fm-3m (225)

Compound: InBiIr
Source: Alexandria via LeMat-Bulk
Functional: PBE-GGA
Structure: relaxed

Unit cell a=12.0755 b=3.6645 c=7.0979 alpha=90.00 beta=90.00 gamma=90.00
Last column: nearest neighbours and their distance in Å.
Element x y z (fractional)
In (0.0236, 0.2500, 0.1849)  3 Ir 2.73-2.82
In (0.4764, 0.7500, 0.6849)  3 Ir 2.73-2.82
In (0.5236, 0.2500, 0.3151)  3 Ir 2.73-2.82
In (0.9764, 0.7500, 0.8151)  3 Ir 2.73-2.82
Bi (0.2139, 0.2500, 0.4823)  3 Ir 2.70-2.71
Bi (0.2861, 0.7500, 0.9823)  3 Ir 2.70-2.71
Bi (0.7139, 0.2500, 0.0177)  3 Ir 2.70-2.71
Bi (0.7861, 0.7500, 0.5177)  3 Ir 2.70-2.71
Ir (0.1429, 0.2500, 0.8438)  3 Bi 2.70-2.71, 3 In 2.73-2.82
Ir (0.3571, 0.7500, 0.3438)  3 Bi 2.70-2.71, 3 In 2.73-2.82
Ir (0.6429, 0.2500, 0.6562)  3 Bi 2.70-2.71, 3 In 2.73-2.82
Ir (0.8571, 0.7500, 0.1562)  3 Bi 2.70-2.71, 3 In 2.73-2.82

Results
Magnetization in μB per formula unit: 0.000
Excess energy over the best structure of this formula in the dataset in meV per atom: 152
Calculated volume in Å³ per atom: 26.17
DOS at the Fermi energy in states/eV/atom: 0.46
SG: Pnma (62)

Compound: InBi12Ir4
Source: Alexandria via LeMat-Bulk
Functional: PBE-GGA
Structure: relaxed

Unit cell a=8.5357 b=8.5357 c=8.5357 alpha=109.47 beta=109.47 gamma=109.47
Last column: nearest neighbours and their distance in Å.
Element x y z (fractional)
In (0.0000, 0.0000, 0.0000)  12 Bi 3.65
Bi (0.1575, 0.3348, 0.4923)  2 Ir 2.76
Bi (0.1575, 0.6652, 0.8227)  2 Ir 2.76
Bi (0.1773, 0.8425, 0.3348)  2 Ir 2.76
Bi (0.3348, 0.1773, 0.8425)  2 Ir 2.76
Bi (0.3348, 0.4923, 0.1575)  2 Ir 2.76
Bi (0.4923, 0.1575, 0.3348)  2 Ir 2.76
Bi (0.5077, 0.8425, 0.6652)  2 Ir 2.76
Bi (0.6652, 0.5077, 0.8425)  2 Ir 2.76
Bi (0.6652, 0.8227, 0.1575)  2 Ir 2.76
Bi (0.8227, 0.1575, 0.6652)  2 Ir 2.76
Bi (0.8425, 0.3348, 0.1773)  2 Ir 2.76
Bi (0.8425, 0.6652, 0.5077)  2 Ir 2.76
Ir (0.0000, 0.0000, 0.5000)  6 Bi 2.76
Ir (0.0000, 0.5000, 0.0000)  6 Bi 2.76
Ir (0.5000, 0.0000, 0.0000)  6 Bi 2.76
Ir (0.5000, 0.5000, 0.5000)  6 Bi 2.76

Results
Magnetization in μB per formula unit: 0.000
Calculated volume in Å³ per atom: 28.16
DOS at the Fermi energy in states/eV/atom: 0.21
Final energy in eV for the cell shown: -85.27
SG: Im-3 (204)

Compound: InBiIr
Source: Alexandria via LeMat-Bulk
Functional: PBE-GGA
Structure: relaxed

Unit cell a=5.7311 b=5.7311 c=5.8667 alpha=120.68 beta=120.68 gamma=69.55
Last column: nearest neighbours and their distance in Å.
Element x y z (fractional)
In (0.1504, 0.8496, 0.7500)  2 Ir 2.72
In (0.8496, 0.1504, 0.2500)  2 Ir 2.72
Bi (0.0000, 0.5000, 0.0000)  4 Ir 2.87, 2 In 3.20
Bi (0.5000, 0.0000, 0.5000)  4 Ir 2.87, 2 In 3.20
Ir (0.5000, 0.5000, 0.0000)  2 In 2.72, 4 Bi 2.87, 2 Ir 2.93
Ir (0.5000, 0.5000, 0.5000)  2 In 2.72, 4 Bi 2.87, 2 Ir 2.93

Results
Magnetization in μB per formula unit: 0.000
Excess energy over the best structure of this formula in the dataset in meV per atom: 233
Calculated volume in Å³ per atom: 23.58
DOS at the Fermi energy in states/eV/atom: 0.46
SG: C2/c (15)

Compound: InBiIr2
Source: Alexandria via LeMat-Bulk
Functional: PBE-GGA
Structure: relaxed

Unit cell a=7.4042 b=7.4042 c=7.4042 alpha=131.32 beta=131.32 gamma=71.31
Last column: nearest neighbours and their distance in Å.
Element x y z (fractional)
In (0.0000, 0.0000, 0.0000)  4 Ir 2.63
In (0.7500, 0.2500, 0.5000)  4 Ir 2.63
Bi (0.2500, 0.7500, 0.5000)  4 Ir 2.63
Bi (0.5000, 0.5000, 0.0000)  4 Ir 2.63
Ir (0.1248, 0.6250, 0.9998)  2 In 2.63, 2 Bi 2.63
Ir (0.3750, 0.3748, 0.4998)  2 In 2.63, 2 Bi 2.63
Ir (0.6252, 0.1250, 0.0002)  2 In 2.63, 2 Bi 2.63
Ir (0.8750, 0.8752, 0.5002)  2 In 2.63, 2 Bi 2.63

Results
Magnetization in μB per formula unit: 0.000
Excess energy over the best structure of this formula in the dataset in meV per atom: 426
Calculated volume in Å³ per atom: 28.01
DOS at the Fermi energy in states/eV/atom: 0.67
SG: I-42d (122)

Compound: InBi2Ir2
Source: Alexandria via LeMat-Bulk
Functional: PBE-GGA
Structure: relaxed

Unit cell a=7.2487 b=7.2487 c=4.2084 alpha=90.00 beta=90.00 gamma=90.00
Last column: nearest neighbours and their distance in Å.
Element x y z (fractional)
In (0.0000, 0.0000, 0.0000)  4 Ir 2.81
In (0.5000, 0.5000, 0.0000)  4 Ir 2.81
Bi (0.1622, 0.3378, 0.5000)  6 Ir 2.94-3.03
Bi (0.3378, 0.8378, 0.5000)  6 Ir 2.94-3.03
Bi (0.6622, 0.1622, 0.5000)  6 Ir 2.94-3.03
Bi (0.8378, 0.6622, 0.5000)  6 Ir 2.94-3.03
Ir (0.1371, 0.6371, 0.0000)  1 Ir 2.81, 2 In 2.81, 6 Bi 2.94-3.03
Ir (0.3629, 0.1371, 0.0000)  1 Ir 2.81, 2 In 2.81, 6 Bi 2.94-3.03
Ir (0.6371, 0.8629, 0.0000)  1 Ir 2.81, 2 In 2.81, 6 Bi 2.94-3.03
Ir (0.8629, 0.3629, 0.0000)  1 Ir 2.81, 2 In 2.81, 6 Bi 2.94-3.03

Results
Magnetization in μB per formula unit: 0.000
Excess energy over the best structure of this formula in the dataset in meV per atom: 0
Calculated volume in Å³ per atom: 22.11
DOS at the Fermi energy in states/eV/atom: 0.84
SG: P4/mbm (127)

Compound: InBiIr2
Source: Alexandria via LeMat-Bulk
Functional: PBE-GGA
Structure: relaxed

Unit cell a=4.7524 b=4.7524 c=4.7524 alpha=60.00 beta=60.00 gamma=60.00
Last column: nearest neighbours and their distance in Å.
Element x y z (fractional)
In (0.0000, 0.0000, 0.0000)  8 Ir 2.91
Bi (0.5000, 0.5000, 0.5000)  8 Ir 2.91
Ir (0.2500, 0.2500, 0.2500)  4 In 2.91, 4 Bi 2.91
Ir (0.7500, 0.7500, 0.7500)  4 In 2.91, 4 Bi 2.91

Results
Magnetization in μB per formula unit: 0.338
Excess energy over the best structure of this formula in the dataset in meV per atom: 0
Calculated volume in Å³ per atom: 18.97
DOS at the Fermi energy in states/eV/atom: 1.15
SG: Fm-3m (225)

Compound: InBi2Ir2
Source: Alexandria via LeMat-Bulk
Functional: PBE-GGA
Structure: relaxed

Unit cell a=6.3303 b=6.3303 c=6.3303 alpha=134.97 beta=134.97 gamma=65.57
Last column: nearest neighbours and their distance in Å.
Element x y z (fractional)
In (0.0000, 0.0000, 0.0000)  8 Bi 3.60, 8 Ir 3.65
Bi (0.2500, 0.7500, 0.5000)  4 Ir 2.81
Bi (0.7500, 0.2500, 0.5000)  4 Ir 2.81
Ir (0.3829, 0.3829, 0.0000)  1 Ir 2.49
Ir (0.6171, 0.6171, 0.0000)  1 Ir 2.49

Results
Magnetization in μB per formula unit: 0.000
Excess energy over the best structure of this formula in the dataset in meV per atom: 148
Calculated volume in Å³ per atom: 25.01
DOS at the Fermi energy in states/eV/atom: 0.94
SG: I4/mmm (139)

Compound: In2BiIr
Source: Alexandria via LeMat-Bulk
Functional: PBE-GGA
Structure: relaxed

Unit cell a=7.9470 b=7.9470 c=7.9470 alpha=132.71 beta=132.71 gamma=69.11
Last column: nearest neighbours and their distance in Å.
Element x y z (fractional)
In (0.0724, 0.6250, 0.9474)  2 Ir 2.61
In (0.3750, 0.3224, 0.4474)  2 Ir 2.61
In (0.6776, 0.1250, 0.0526)  2 Ir 2.61
In (0.8750, 0.9276, 0.5526)  2 Ir 2.61
Bi (0.2500, 0.7500, 0.5000)  4 In 2.99
Bi (0.5000, 0.5000, 0.0000)  4 In 2.99
Ir (0.0000, 0.0000, 0.0000)  4 In 2.61
Ir (0.7500, 0.2500, 0.5000)  4 In 2.61

Results
Magnetization in μB per formula unit: 0.000
Calculated volume in Å³ per atom: 33.24
DOS at the Fermi energy in states/eV/atom: 0.01
Final energy in eV for the cell shown: -32.62
SG: I-42d (122)

Compound: In8Bi2Ir
Source: Alexandria via LeMat-Bulk
Functional: PBE-GGA
Structure: relaxed

Unit cell a=6.1502 b=7.3139 c=7.5875 alpha=77.29 beta=67.24 gamma=87.96
Last column: nearest neighbours and their distance in Å.
Element x y z (fractional)
In (0.0529, 0.3572, 0.3611)  1 Ir 2.85, 3 In 3.09-3.17
In (0.1877, 0.1556, 0.9849)  1 Ir 2.74
In (0.2951, 0.7362, 0.0573)  1 Ir 2.76, 1 In 3.09
In (0.4360, 0.5560, 0.6872)  1 Ir 2.78, 2 In 2.93-3.09
In (0.5640, 0.4440, 0.3128)  1 Ir 2.78, 2 In 2.93-3.09
In (0.7049, 0.2638, 0.9427)  1 Ir 2.76, 1 In 3.09
In (0.8123, 0.8444, 0.0151)  1 Ir 2.74
In (0.9471, 0.6428, 0.6389)  1 Ir 2.85, 3 In 3.09-3.17
Bi (0.3530, 0.9639, 0.3583)  7 In 3.22-3.60, 1 Bi 3.43
Bi (0.6470, 0.0361, 0.6417)  7 In 3.22-3.60, 1 Bi 3.43
Ir (0.0000, 0.5000, 0.0000)  8 In 2.74-2.85

Results
Magnetization in μB per formula unit: 0.000
Calculated volume in Å³ per atom: 27.87
DOS at the Fermi energy in states/eV/atom: 0.46
Final energy in eV for the cell shown: -38.57
SG: P-1 (2)

Compound: InBiIr
Source: Alexandria via LeMat-Bulk
Functional: PBE-GGA
Structure: relaxed

Unit cell a=4.6539 b=4.6539 c=4.6539 alpha=60.00 beta=60.00 gamma=60.00
Last column: nearest neighbours and their distance in Å.
Element x y z (fractional)
In (0.0000, 0.0000, 0.0000)  4 Ir 2.85
Bi (0.5000, 0.5000, 0.5000)  4 Ir 2.85
Ir (0.7500, 0.7500, 0.7500)  4 In 2.85, 4 Bi 2.85

Results
Magnetization in μB per formula unit: 0.000
Excess energy over the best structure of this formula in the dataset in meV per atom: 0
Calculated volume in Å³ per atom: 23.76
DOS at the Fermi energy in states/eV/atom: 0.64
SG: F-43m (216)

Compound: KIn2BiIr
Source: Alexandria via LeMat-Bulk
Functional: PBE-GGA
Structure: relaxed

Unit cell a=5.2062 b=5.2062 c=5.7324 alpha=90.00 beta=90.00 gamma=90.00
Last column: nearest neighbours and their distance in Å.
Element x y z (fractional)
K (0.0000, 0.0000, 0.0000)  4 Bi 3.68, 8 In 3.87
In (0.0000, 0.5000, 0.5000)  2 Ir 2.60
In (0.5000, 0.0000, 0.5000)  2 Ir 2.60
Bi (0.5000, 0.5000, 0.0000)  2 Ir 2.87
Ir (0.5000, 0.5000, 0.5000)  4 In 2.60, 2 Bi 2.87

Results
Magnetization in μB per formula unit: 0.000
Calculated volume in Å³ per atom: 31.08
DOS at the Fermi energy in states/eV/atom: 0.58
Final energy in eV for the cell shown: -19.38
SG: P4/mmm (123)

Compound: La2InBiIr
Source: Alexandria via LeMat-Bulk
Functional: PBE-GGA
Structure: relaxed

Unit cell a=5.5562 b=5.5562 c=5.1522 alpha=90.00 beta=90.00 gamma=90.00
Last column: nearest neighbours and their distance in Å.
Element x y z (fractional)
La (0.0000, 0.5000, 0.0000)  2 Ir 2.78
La (0.5000, 0.0000, 0.0000)  2 Ir 2.78
In (0.0000, 0.0000, 0.5000)  2 Ir 2.58
Bi (0.5000, 0.5000, 0.5000)  8 La 3.79, 4 In 3.93
Ir (0.0000, 0.0000, 0.0000)  2 In 2.58, 4 La 2.78

Results
Magnetization in μB per formula unit: 0.000
Calculated volume in Å³ per atom: 31.81
DOS at the Fermi energy in states/eV/atom: 0.62
Final energy in eV for the cell shown: -28.82
SG: P4/mmm (123)